Entry 1:
This record from Alexandria via LeMat-Bulk describes MgAg2Pd8 after structural relaxation. The functional is PBE.

Structure (POSCAR):
```
MgAg2Pd8
1.0
3.626 -7.031 0.000
3.626 7.031 0.000
-3.162 0.000 3.684
Mg Ag Pd
1 2 8
Cartesian
0.000 0.000 0.000
2.045 2.572 1.842
2.045 -2.572 1.842
-0.563 1.955 2.691
3.626 4.376 0.000
-0.563 -1.955 2.691
2.631 0.000 0.766
1.460 0.000 2.917
4.653 1.955 0.993
3.626 -4.376 0.000
4.653 -1.955 0.993
```

- crystal system = monoclinic
- energy above the most stable polymorph in this dataset (eV per atom) = 0.000
- energy relative to the elements (eV per atom) = 0.00

Entry 2:
This record from Alexandria via LeMat-Bulk describes MgAg3Pd6 after structural relaxation. The functional is PBE.

Structure (POSCAR):
```
MgAg3Pd6
1.0
8.942 0.000 0.000
0.000 4.020 0.000
-0.097 0.000 8.999
Mg Ag Pd
2 6 12
Cartesian
0.479 1.005 3.474
8.366 3.015 5.524
2.129 1.005 8.973
3.012 3.015 7.162
3.936 1.005 5.377
4.908 3.015 3.621
5.833 1.005 1.837
6.715 3.015 0.026
0.322 3.015 8.086
1.163 1.005 6.213
1.342 3.015 1.767
2.075 3.015 4.449
3.087 1.005 2.675
4.014 3.015 0.898
4.830 1.005 8.100
5.757 3.015 6.323
6.769 1.005 4.549
7.503 1.005 7.232
7.682 3.015 2.786
8.522 1.005 0.913
```

- crystal system = monoclinic
- energy above the most stable polymorph in this dataset (eV per atom) = 0.000
- energy relative to the elements (eV per atom) = -0.19

Entry 3:
This record from Alexandria via LeMat-Bulk describes Mg6AgPd2 after structural relaxation. The functional is PBE.

Structure (POSCAR):
```
Mg6AgPd2
1.0
4.681 0.000 0.000
-2.341 4.054 0.000
0.000 0.000 8.685
Mg Ag Pd
6 1 2
Cartesian
0.000 0.000 1.655
0.000 0.000 7.030
0.000 2.703 0.502
0.000 2.703 3.503
2.341 1.351 5.181
2.341 1.351 8.183
0.000 0.000 4.342
0.000 2.703 6.427
2.341 1.351 2.257
```

- crystal system = trigonal
- energy above the most stable polymorph in this dataset (eV per atom) = 0.000
- energy relative to the elements (eV per atom) = -0.39

Entry 4:
This record from Alexandria via LeMat-Bulk describes Mg4Ag5Pd after structural relaxation. The functional is PBE.

Structure (POSCAR):
```
Mg4Ag5Pd
1.0
6.987 -2.321 0.000
6.987 2.321 0.000
-1.617 0.000 5.502
Mg Ag Pd
4 5 1
Cartesian
0.664 0.000 2.139
3.969 0.000 1.129
8.388 0.000 4.373
11.693 0.000 3.363
0.012 0.000 4.945
3.031 0.000 3.817
6.987 0.000 0.000
9.327 0.000 1.684
12.345 0.000 0.557
6.179 0.000 2.751
```

- crystal system = monoclinic
- energy relative to the elements (eV per atom) = -0.28

Entry 5:
This record from Alexandria via LeMat-Bulk describes Mg3AgPd4 after structural relaxation. The functional is PBE.

Structure (POSCAR):
```
Mg3AgPd4
1.0
2.249 1.299 7.377
-2.249 1.299 7.377
0.000 -2.597 7.377
Mg Ag Pd
3 1 4
Cartesian
0.000 0.000 0.000
0.000 0.000 5.459
0.000 0.000 16.673
0.000 0.000 11.066
0.000 0.000 2.678
0.000 0.000 8.242
0.000 0.000 13.889
0.000 0.000 19.454
```

- crystal system = trigonal
- energy relative to the elements (eV per atom) = -0.60

Entry 6:
This record from Alexandria via LeMat-Bulk describes Mg8AgPd2 after structural relaxation. The functional is PBE.

Structure (POSCAR):
```
Mg8AgPd2
1.0
4.606 0.000 0.000
-0.006 6.655 0.000
-2.267 -2.952 7.022
Mg Ag Pd
8 1 2
Cartesian
0.000 0.000 0.000
-0.005 3.354 0.630
0.017 -1.121 2.960
0.021 3.476 5.064
0.026 -0.350 5.912
2.314 0.484 1.877
2.310 3.542 2.658
2.323 1.373 4.824
0.014 1.704 2.913
2.297 4.938 0.295
2.325 -1.377 4.767
```

- crystal system = triclinic
- energy above the most stable polymorph in this dataset (eV per atom) = 0.008
- energy relative to the elements (eV per atom) = -0.33

Entry 7:
This record from Alexandria via LeMat-Bulk describes Mg6Ag5Pd after structural relaxation. The functional is PBE.

Structure (POSCAR):
```
Mg6Ag5Pd
1.0
4.621 0.000 0.000
0.000 6.782 0.000
-2.221 0.000 6.930
Mg Ag Pd
6 5 1
Cartesian
0.000 1.629 0.000
0.000 5.152 0.000
0.064 1.660 4.674
0.064 5.122 4.674
2.336 1.660 2.255
2.336 5.122 2.255
0.027 0.000 2.332
0.027 3.391 2.337
2.311 3.391 0.000
2.374 0.000 4.598
2.373 3.391 4.592
2.311 0.000 0.000
```

- crystal system = monoclinic
- energy relative to the elements (eV per atom) = -0.32

Entry 8:
This record from Alexandria via LeMat-Bulk describes MgAg3Pd4 after structural relaxation. The functional is PBE.

Structure (POSCAR):
```
MgAg3Pd4
1.0
-2.742 4.588 2.700
2.742 -4.588 2.700
2.742 4.588 -2.700
Mg Ag Pd
1 3 4
Cartesian
0.000 0.000 0.000
2.742 2.336 1.238
0.000 4.588 2.559
0.000 2.252 3.938
0.000 2.254 1.226
1.365 4.588 -0.099
1.378 0.000 2.601
0.000 6.923 1.226
```

- crystal system = orthorhombic
- energy above the most stable polymorph in this dataset (eV per atom) = 0.155
- energy relative to the elements (eV per atom) = -0.08

Entry 9:
This record from Alexandria via LeMat-Bulk describes MgAg3Pd6 after structural relaxation. The functional is PBE.

Structure (POSCAR):
```
MgAg3Pd6
1.0
5.259 0.000 0.000
-2.630 4.554 0.000
0.000 0.000 7.184
Mg Ag Pd
1 3 6
Cartesian
0.000 0.000 0.000
0.000 0.000 3.592
0.000 3.036 3.592
2.630 1.518 3.592
-1.119 1.938 5.882
-1.511 2.617 1.301
2.238 0.000 5.882
1.119 1.938 1.301
3.021 0.000 1.301
1.511 2.617 5.882
```

- crystal system = trigonal
- energy above the most stable polymorph in this dataset (eV per atom) = 0.171
- energy relative to the elements (eV per atom) = -0.02

Entry 10:
This record from Alexandria via LeMat-Bulk describes Mg2AgPd8 after structural relaxation. The functional is PBE.

Structure (POSCAR):
```
Mg2AgPd8
1.0
7.087 -2.013 0.000
7.087 2.013 0.000
-1.840 0.000 6.083
Mg Ag Pd
2 1 8
Cartesian
2.899 0.000 0.924
9.434 0.000 5.158
6.166 0.000 3.041
0.220 0.000 1.365
0.735 0.000 4.219
3.439 0.000 3.590
5.658 0.000 0.249
6.675 0.000 5.833
8.893 0.000 2.493
11.598 0.000 1.864
12.113 0.000 4.718
```

- crystal system = monoclinic
- energy above the most stable polymorph in this dataset (eV per atom) = 0.000
- energy relative to the elements (eV per atom) = -0.33

Entry 11:
This record from Alexandria via LeMat-Bulk describes Mg5AgPd6 after structural relaxation. The functional is PBE.

Structure (POSCAR):
```
Mg5AgPd6
1.0
2.182 -6.555 0.000
2.182 6.555 0.000
0.000 0.000 6.764
Mg Ag Pd
5 1 6
Cartesian
0.000 0.000 0.000
2.182 2.194 0.000
2.182 2.100 3.382
2.182 -2.100 3.382
2.182 -2.194 0.000
0.000 0.000 3.382
2.182 4.327 1.677
2.182 4.327 5.087
2.182 0.000 1.598
2.182 0.000 5.166
2.182 -4.327 1.677
2.182 -4.327 5.087
```

- crystal system = orthorhombic
- energy relative to the elements (eV per atom) = -0.65

Entry 12:
This record from Alexandria via LeMat-Bulk describes Mg3AgPd6 after structural relaxation. The functional is PBE.

Structure (POSCAR):
```
Mg3AgPd6
1.0
4.521 -7.720 0.000
4.521 7.720 0.000
0.000 0.000 4.819
Mg Ag Pd
6 2 12
Cartesian
4.521 6.153 2.410
3.002 1.470 4.183
3.002 -1.470 1.773
6.039 1.470 4.183
6.039 -1.470 1.773
4.521 -6.153 0.000
4.521 3.315 2.734
4.521 -3.315 0.324
2.298 3.184 1.216
1.463 0.741 2.131
4.521 4.626 0.295
1.463 -0.741 4.541
4.521 0.817 1.692
2.298 -3.184 3.626
6.744 3.184 1.216
4.521 -0.817 4.102
7.578 0.741 2.131
4.521 -4.626 2.704
7.578 -0.741 4.541
6.744 -3.184 3.626
```

- crystal system = orthorhombic
- energy relative to the elements (eV per atom) = -0.35

Entry 13:
This record from Alexandria via LeMat-Bulk describes Mg2Ag3Pd3 after structural relaxation. The functional is PBE.

Structure (POSCAR):
```
Mg2Ag3Pd3
1.0
4.070 0.000 0.000
0.000 4.166 0.000
0.000 0.000 7.817
Mg Ag Pd
2 3 3
Cartesian
0.000 0.000 1.861
0.000 0.000 5.955
0.000 2.083 3.908
2.035 2.083 1.933
2.035 2.083 5.884
0.000 2.083 0.000
2.035 0.000 0.000
2.035 0.000 3.908
```

- crystal system = orthorhombic
- energy relative to the elements (eV per atom) = -0.40

Entry 14:
This record from Alexandria via LeMat-Bulk describes Mg2Ag2Pd3 after structural relaxation. The functional is PBE.

Structure (POSCAR):
```
Mg2Ag2Pd3
1.0
3.902 -2.261 0.000
3.902 2.261 0.000
-2.647 0.000 6.758
Mg Ag Pd
2 2 3
Cartesian
-0.012 0.000 1.871
5.170 0.000 4.888
2.594 0.000 0.610
2.563 0.000 6.149
-0.032 0.000 4.565
2.579 0.000 3.379
5.189 0.000 2.194
```

- crystal system = monoclinic
- energy relative to the elements (eV per atom) = -0.38

Entry 15:
This record from Alexandria via LeMat-Bulk describes MgAgPd14 after structural relaxation. The functional is PBE.

Structure (POSCAR):
```
MgAgPd14
1.0
9.229 0.000 0.000
0.000 2.789 4.837
0.000 -2.789 4.837
Mg Ag Pd
1 1 14
Cartesian
0.000 0.000 0.000
0.000 0.000 4.840
0.000 1.389 7.261
0.000 -1.389 7.261
2.291 0.000 1.597
2.310 -1.401 4.017
2.310 1.401 4.017
2.310 0.000 6.443
4.615 0.000 3.198
4.615 -1.395 5.619
4.615 1.395 5.619
4.615 0.000 8.035
6.920 -1.401 4.017
6.920 1.401 4.017
6.920 0.000 6.443
6.939 0.000 1.597
```

- crystal system = orthorhombic
- energy relative to the elements (eV per atom) = -0.11

Entry 16:
This record from Alexandria via LeMat-Bulk describes Mg6Ag3Pd after structural relaxation. The functional is PBE.

Structure (POSCAR):
```
Mg6Ag3Pd
1.0
8.253 0.000 0.000
0.000 4.671 0.000
-2.657 0.000 9.651
Mg Ag Pd
12 6 2
Cartesian
-0.761 1.168 3.904
0.672 3.503 1.799
-0.419 1.168 9.604
2.102 1.168 2.891
0.756 3.503 7.889
1.962 1.168 5.866
3.634 3.503 3.785
4.840 1.168 1.762
3.494 3.503 6.760
6.015 3.503 0.047
4.924 1.168 7.852
6.357 3.503 5.747
-1.993 3.503 8.640
-0.670 1.168 6.801
0.834 3.503 4.720
4.762 1.168 4.931
6.266 3.503 2.850
7.589 1.168 1.011
3.353 3.503 1.096
2.244 1.168 8.555
```

- crystal system = monoclinic
- energy relative to the elements (eV per atom) = -0.29

Entry 17:
This record from Alexandria via LeMat-Bulk describes MgAgPd3 after structural relaxation. The functional is PBE.

Structure (POSCAR):
```
MgAgPd3
1.0
4.620 0.000 0.000
0.000 4.620 0.000
0.000 0.000 4.620
Mg Ag Pd
1 1 3
Cartesian
0.000 0.000 0.000
2.310 2.310 2.310
0.000 0.000 2.310
0.000 2.310 0.000
2.310 0.000 0.000
```

- crystal system = cubic
- energy above the most stable polymorph in this dataset (eV per atom) = 0.820
- energy relative to the elements (eV per atom) = 0.46

Entry 18:
This record from Alexandria via LeMat-Bulk describes Mg8AgPd2 after structural relaxation. The functional is PBE.

Structure (POSCAR):
```
Mg8AgPd2
1.0
7.449 -2.269 0.000
7.449 2.269 0.000
-2.700 0.000 6.298
Mg Ag Pd
8 1 2
Cartesian
-0.187 0.000 1.520
0.545 0.000 4.657
3.310 0.000 3.631
5.618 0.000 0.304
6.579 0.000 5.994
8.888 0.000 2.667
11.653 0.000 1.641
12.384 0.000 4.777
6.099 0.000 3.149
2.505 0.000 1.039
9.692 0.000 5.259
```

- crystal system = monoclinic
- energy above the most stable polymorph in this dataset (eV per atom) = 0.000
- energy relative to the elements (eV per atom) = -0.34

Entry 19:
This record from Alexandria via LeMat-Bulk describes Mg3AgPd2 after structural relaxation. The functional is PBE.

Structure (POSCAR):
```
Mg3AgPd2
1.0
2.313 -6.940 0.000
2.313 6.940 0.000
0.000 0.000 3.160
Mg Ag Pd
3 1 2
Cartesian
0.000 0.000 0.000
2.313 2.427 0.000
2.313 -2.427 0.000
2.313 0.000 1.580
2.313 4.692 1.580
2.313 -4.692 1.580
```

- crystal system = orthorhombic
- energy above the most stable polymorph in this dataset (eV per atom) = 0.002
- energy relative to the elements (eV per atom) = -0.57

Entry 20:
This record from Alexandria via LeMat-Bulk describes Mg7AgPd2 after structural relaxation. The functional is PBE.

Structure (POSCAR):
```
Mg7AgPd2
1.0
4.608 0.000 0.000
-2.304 3.991 0.000
0.000 0.000 11.220
Mg Ag Pd
7 1 2
Cartesian
0.000 0.000 0.000
0.000 0.000 2.891
0.000 0.000 5.957
0.000 2.660 1.546
0.000 2.660 7.774
2.304 1.330 4.132
2.304 1.330 9.579
0.000 2.660 4.724
0.000 0.000 8.598
2.304 1.330 1.291
```

- crystal system = trigonal
- energy relative to the elements (eV per atom) = -0.31